# 1
Here is crystalline Pm6Ho2ErTh at its relaxed geometry from the Alexandria database. Energies are from GGA-PBE.

```
20
Lattice="4.677 -7.495 0.000 4.677 7.495 0.000 -1.202 0.000 9.558" Properties=species:S:1:pos:R:3 pbc="T T T"
Pm 2.492 4.221 1.790
Pm 3.412 4.872 5.336
Pm 4.140 4.872 9.001
Pm 3.339 1.642 3.657
Pm 6.261 4.221 2.989
Pm 5.414 1.642 1.122
Pm 2.739 -1.642 8.435
Pm 1.892 -4.221 6.569
Pm 4.813 -1.642 5.901
Pm 4.012 -4.872 0.557
Pm 4.741 -4.872 4.222
Pm 5.660 -4.221 7.767
Ho 2.257 0.689 0.494
Ho 1.656 -0.689 5.273
Ho 6.496 0.689 4.285
Ho 5.896 -0.689 9.064
Er 3.776 1.366 7.168
Er 4.377 -1.366 2.389
Th 4.377 7.034 2.389
Th 3.776 -7.034 7.168
```

Summary:
crystal system	monoclinic
E_tot	-4.8190	eV per atom
E_form	14.0	kJ per mole of atoms

# 2
Here is crystalline Cr2CdPb at its relaxed geometry from the Alexandria database. Energies are from GGA-PBE.

```
4
Lattice="3.120 0.000 0.000 0.000 3.120 0.000 0.000 0.000 8.175" Properties=species:S:1:pos:R:3 pbc="T T T"
Cr 0.000 0.000 0.000
Cr 1.560 1.560 1.097
Cd 1.560 1.560 6.223
Pb 0.000 0.000 3.322
```

Summary:
crystal system	tetragonal
E_tot	-5.6098	eV per atom
E_form	34.5	kJ per mole of atoms

# 3
Here is crystalline Th4Ga3Os at its relaxed geometry from the Alexandria database. Energies are from GGA-PBE.

```
8
Lattice="4.181 0.000 0.000 0.000 4.318 0.000 0.000 0.000 11.112" Properties=species:S:1:pos:R:3 pbc="T T T"
Th 0.000 0.000 0.000
Th 0.000 2.159 5.398
Th 2.091 0.000 3.014
Th 2.091 2.159 8.719
Ga 0.000 0.000 7.857
Ga 0.000 2.159 2.262
Ga 2.091 0.000 6.229
Os 2.091 2.159 0.535
```

Summary:
crystal system	orthorhombic
E_tot	-6.7129	eV per atom
E_form	-44.8	kJ per mole of atoms

# 4
Here is crystalline Pr3TiPd12 at its relaxed geometry from the Alexandria database. Energies are from GGA-PBE.

```
16
Lattice="4.156 0.000 0.000 0.000 4.156 0.000 0.000 0.000 16.553" Properties=species:S:1:pos:R:3 pbc="T T T"
Pr 0.000 0.000 0.000
Pr 0.000 0.000 4.275
Pr 0.000 0.000 12.278
Ti 0.000 0.000 8.277
Pd 0.000 2.078 2.150
Pd 0.000 2.078 6.481
Pd 0.000 2.078 10.072
Pd 0.000 2.078 14.403
Pd 2.078 0.000 2.150
Pd 2.078 0.000 6.481
Pd 2.078 0.000 10.072
Pd 2.078 0.000 14.403
Pd 2.078 2.078 0.000
Pd 2.078 2.078 4.312
Pd 2.078 2.078 8.277
Pd 2.078 2.078 12.241
```

Summary:
crystal system	tetragonal
E_tot	-5.9918	eV per atom
E_form	-68.3	kJ per mole of atoms

# 5
Here is crystalline Na3LaSm2Te6 at its relaxed geometry from the Alexandria database. Energies are from GGA-PBE.

```
12
Lattice="3.942 -6.829 0.000 3.942 6.829 0.000 -2.630 0.000 7.548" Properties=species:S:1:pos:R:3 pbc="T T T"
Na 0.000 0.000 0.000
Na 3.942 2.260 0.000
Na 3.942 -2.260 0.000
La 2.627 0.000 3.774
Sm 2.627 4.550 3.774
Sm 2.627 -4.550 3.774
Te 1.288 2.320 1.976
Te -0.052 0.000 5.573
Te 1.288 -2.320 1.976
Te 3.966 2.320 5.571
Te 5.306 0.000 1.974
Te 3.966 -2.320 5.571
```

Summary:
formation energy from raw total energies	-16.2	eV/f.u.
crystal system	monoclinic
E_tot	-4.4508	eV per atom

# 6
Here is crystalline BaPrIr at its relaxed geometry from the Alexandria database. Energies are from GGA-PBE.

```
3
Lattice="-1.857 1.857 7.297 1.857 -1.857 7.297 1.857 1.857 -7.297" Properties=species:S:1:pos:R:3 pbc="T T T"
Ba 0.000 0.000 0.000
Pr 0.000 0.000 3.522
Ir 0.000 0.000 9.419
```

Summary:
polymorph energy (0 for the lowest one)	0.178	eV/f.u.
crystal system	tetragonal
E_tot	-5.4123	eV per atom
E_form	-21.7	kJ per mole of atoms

Which value of E_tot does entry 2 give? -5.6098 eV per atom

Among the records above, which one has the highest E_tot? Na3LaSm2Te6

Which value of E_tot does entry 5 give? -4.4508 eV per atom

Look up the E_tot of the fifth one. -4.4508 eV per atom